Compound: LaGePd
Source: the Open Quantum Materials Database
Functional: GGA-PBE
Structure: optimized geometry

```
3
Lattice="0.000 3.462 3.462 3.462 0.000 3.462 3.462 3.462 0.000" Properties=species:S:1:pos:R:3 pbc="T T T"
La 0.000 0.000 0.000
Ge 5.193 5.193 5.193
Pd 1.731 1.731 1.731
```

Output
- Size of the total moment: 0.002 μB per formula unit
- Calculated total energy: -0.1844 Ha/atom
- SG: F-43m